No. 1
Material: Ba2BeZn
Method: DFT, PBE
State: optimized geometry

abc: 5.7086 5.7086 5.7086
angles: 60.00 60.00 60.00
Fractional coordinates of all 4 atoms:
Zn: 0.5000 0.5000 0.5000
Ba: 0.7500 0.7500 0.7500
Ba: 0.2500 0.2500 0.2500
Be: 0.0000 0.0000 0.0000

**Excess energy over the best structure of this formula in the dataset**: 118.3 meV per atom
**Uncorrected energy**: -7.9 eV per cell
**Energy of formation from the pure elements**: 0.23 eV/atom
**ρ**: 4.41 g/cm3
**SG**: No. 225
**N(E_F)**: 0.7684 states/eV/atom

No. 2
Material: BaBeZn2
Method: DFT, PBE
State: optimized geometry

abc: 4.3120 4.4707 5.3050
angles: 89.88 90.00 90.00
Fractional coordinates of all 4 atoms:
Be: 0.5000 0.7804 0.9996
Zn: 0.5000 0.2775 0.0006
Zn: 0.0000 0.9568 0.9998
Ba: 0.0000 0.4853 0.5001

**Uncorrected energy**: -8.0 eV per cell
**Energy of formation from the pure elements**: 0.06 eV/atom
**ρ**: 4.50 g/cm3
**SG**: No. 6
**N(E_F)**: 0.3176 states/eV/atom

No. 3
Material: Ba2ZrBe
Method: DFT, PBE
State: optimized geometry

abc: 4.9787 4.9818 5.0364
angles: 90.00 90.00 90.00
Site moments in Bohr magnetons follow the coordinates.
Fractional coordinates of all 4 atoms:
Ba: 0.5000 0.5000 0.0000  0.02
Ba: 0.0000 0.0000 0.0000  0.02
Zr: 0.0000 0.5000 0.5000  0.30
Be: 0.5000 0.0000 0.5000  -0.01

**Uncorrected energy**: -12.5 eV per cell
**Energy of formation from the pure elements**: 0.90 eV/atom
**ρ**: 4.98 g/cm3
**SG**: No. 123
**N(E_F)**: 1.4504 states/eV/atom

No. 4
Material: BaZrBe2
Method: DFT, PBE
State: optimized geometry

abc: 4.8876 4.8876 4.8876
angles: 60.00 60.00 60.00
Site moments in Bohr magnetons follow the coordinates.
Fractional coordinates of all 4 atoms:
Ba: 0.5000 0.5000 0.5000  0.17
Be: 0.0000 0.0000 0.0000  0.04
Be: 0.2500 0.2500 0.2500  -0.01
Zr: 0.7500 0.7500 0.7500  0.89

**Excess energy over the best structure of this formula in the dataset**: 839.2 meV per atom
**Uncorrected energy**: -13.6 eV per cell
**Energy of formation from the pure elements**: 1.09 eV/atom
**ρ**: 4.96 g/cm3
**SG**: No. 216
**N(E_F)**: 0.8939 states/eV/atom

No. 5
Material: BaZr2Be
Method: DFT, PBE
State: optimized geometry

abc: 3.2675 3.2689 9.7525
angles: 70.88 90.00 90.00
Fractional coordinates of all 4 atoms:
Zr: 0.0000 0.4213 0.5869
Zr: 0.0000 0.0787 0.9131
Ba: 0.5000 0.2500 0.2500
Be: 0.5000 0.7500 0.7500

**Uncorrected energy**: -21.3 eV per cell
**Energy of formation from the pure elements**: 0.36 eV/atom
**ρ**: 5.55 g/cm3
**SG**: No. 10
**N(E_F)**: 1.0030 states/eV/atom

No. 6
Material: BaZrBe2
Method: DFT, PBE
State: optimized geometry

abc: 4.9677 4.9677 4.9677
angles: 60.00 60.00 60.00
Fractional coordinates of all 4 atoms:
Be: 0.2500 0.2500 0.2500
Be: 0.7500 0.7500 0.7500
Zr: 0.0000 0.0000 0.0000
Ba: 0.5000 0.5000 0.5000

**Excess energy over the best structure of this formula in the dataset**: 516.8 meV per atom
**Uncorrected energy**: -14.8 eV per cell
**Energy of formation from the pure elements**: 0.77 eV/atom
**ρ**: 4.72 g/cm3
**SG**: No. 225
**N(E_F)**: 1.0085 states/eV/atom